First-principles (PBE+U) data for a geometry-optimized CrAg2OF structure, as listed in the Alexandria database. Values from VASP.

Structure (Quantum ESPRESSO input):
```
&SYSTEM
  ibrav = 0, nat = 5, ntyp = 4
/
ATOMIC_SPECIES
Cr 52.00 Cr.upf
Ag 107.87 Ag.upf
O 16.00 O.upf
F 19.00 F.upf
CELL_PARAMETERS angstrom
4.5940 0.0000 0.0000
0.0000 4.5940 0.0000
0.0000 0.0000 3.9727
ATOMIC_POSITIONS angstrom
Cr 0.0000 0.0000 0.0000
Ag 0.0000 2.2970 1.9863
Ag 2.2970 0.0000 1.9863
O 0.0000 0.0000 1.9863
F 2.2970 2.2970 0.0000
```

Fermi-level density of states = 0.81 states/eV per cell
symmetry = P4/mmm
final energy = -22.7 eV/cell
crystal system = tetragonal